# PBE SrTaW2, relaxed
data_SrTaW2
_space_group_name_H-M_alt 'F -4 3 m'
_space_group_IT_number 216
_space_group_name_Hall 'F -4 2 3'
_cell_length_a 6.765
_cell_length_b 6.765
_cell_length_c 6.765
_cell_angle_alpha 90.00
_cell_angle_beta 90.00
_cell_angle_gamma 90.00
loop_
_atom_site_label
_atom_site_type_symbol
_atom_site_fract_x
_atom_site_fract_y
_atom_site_fract_z
_atom_site_occupancy
Sr1 Sr 0.000 0.000 0.000 1
Ta1 Ta 0.250 0.250 0.250 1
W1 W 0.000 0.000 0.500 1
W2 W 0.250 0.250 0.750 1
# * formation enthalpy at 0 K: 4.503 eV per formula unit
# * energy above the lowest structure with this stoichiometry: 431.2 meV per atom
# * magnetic moment: 0.0 μB/f.u.
# * uncorrected energy: -34.9 eV/f.u.